1.
DFT (GGA-PBE) results for a relaxed structure of BaCr2Sb2.

The calculation puts the uncorrected formation energy at -0.266 eV per formula unit. The space group is I4/mmm, No. 139.

a b c (Å): 8.4479 8.4479 8.4479
angles (deg): 153.37 153.37 38.01
Closest atoms and distances in Å follow each position.
Sites, in units of the cell vectors:
Ba 0.0000 0.0000 0.0000  8 Sb 3.53, 4 Ba 3.89
Cr 0.2500 0.7500 0.5000  4 Sb 2.64, 4 Cr 2.75
Cr 0.7500 0.2500 0.5000  4 Sb 2.64, 4 Cr 2.75
Sb 0.3615 0.3615 0.0000  4 Cr 2.64
Sb 0.6385 0.6385 0.0000  4 Cr 2.64

---

2.
DFT (GGA-PBE) results for a relaxed structure of Si2PdRh3.

The calculation puts the uncorrected formation energy at -4.328 eV per formula unit. The space group is Pmc2_1, No. 26.

a b c (Å): 3.9175 7.2545 5.8453
angles (deg): 90.00 90.00 90.00
Closest atoms and distances in Å follow each position.
Sites, in units of the cell vectors:
Si 0.0000 0.1297 0.0000  6 Rh 2.35-2.58, 1 Pd 2.50
Si 0.0000 0.8703 0.5000  6 Rh 2.35-2.58, 1 Pd 2.50
Si 0.5000 0.3593 0.5081  5 Rh 2.38-2.45, 2 Pd 2.58
Si 0.5000 0.6407 0.0081  5 Rh 2.38-2.45, 2 Pd 2.58
Pd 0.0000 0.4269 0.7829  3 Si 2.50-2.58
Pd 0.0000 0.5731 0.2829  3 Si 2.50-2.58
Rh 0.0000 0.1838 0.4021  4 Si 2.35-2.42
Rh 0.0000 0.8162 0.9021  4 Si 2.35-2.42
Rh 0.5000 0.0695 0.7238  3 Si 2.45-2.58
Rh 0.5000 0.3216 0.0997  4 Si 2.38-2.47
Rh 0.5000 0.6784 0.5997  4 Si 2.38-2.47
Rh 0.5000 0.9305 0.2238  3 Si 2.45-2.58

---

3.
DFT (GGA-PBE) results for a relaxed structure of KZnRuCl6.

The calculation puts the uncorrected formation energy at -9.221 eV per formula unit. The space group is P312, No. 149.

a b c (Å): 6.3632 6.3632 7.0223
angles (deg): 90.00 90.00 120.00
Closest atoms and distances in Å follow each position.
Sites, in units of the cell vectors:
K 0.0000 0.0000 0.0000  6 Cl 3.18
Zn 0.6667 0.3333 0.5000  6 Cl 2.49
Ru 0.3333 0.6667 0.5000  6 Cl 2.38
Cl 0.0139 0.3739 0.6929  1 Ru 2.38, 1 Zn 2.49
Cl 0.0139 0.6399 0.3071  1 Ru 2.38, 1 Zn 2.49
Cl 0.3601 0.3739 0.3071  1 Ru 2.38, 1 Zn 2.49
Cl 0.3601 0.9861 0.6929  1 Ru 2.38, 1 Zn 2.49
Cl 0.6261 0.6399 0.6929  1 Ru 2.38, 1 Zn 2.49
Cl 0.6261 0.9861 0.3071  1 Ru 2.38, 1 Zn 2.49

---

4.
DFT (GGA-PBE) results for a relaxed structure of ReTeWI.

The energy above the most stable polymorph in this dataset comes out at 64.9 meV/atom. The calculation puts the uncorrected formation energy at 1.685 eV per formula unit. The space group is P3m1, No. 156.

a b c (Å): 3.4822 3.4822 9.7277
angles (deg): 90.00 90.00 120.00
Closest atoms and distances in Å follow each position.
Sites, in units of the cell vectors:
Re 0.0000 0.0000 0.0000  3 W 2.56, 3 Te 2.81
Te 0.3333 0.6667 0.7984  3 Re 2.81
W 0.3333 0.6667 0.1634  3 Re 2.56
I 0.0000 0.0000 0.3834  3 W 2.94

---

5.
DFT (GGA-PBE) results for a relaxed structure of Ba4Nb3ZnO12.

The calculation puts the uncorrected formation energy at -53.169 eV per formula unit. The space group is Im-3m, No. 229.

a b c (Å): 7.1992 7.1992 7.1992
angles (deg): 109.47 109.47 109.47
Closest atoms and distances in Å follow each position.
Sites, in units of the cell vectors:
Ba 0.0000 0.0000 0.5000  12 O 2.94
Ba 0.0000 0.5000 0.0000  12 O 2.94
Ba 0.5000 0.0000 0.0000  12 O 2.94
Ba 0.5000 0.5000 0.5000  12 O 2.94
Nb 0.0000 0.5000 0.5000  6 O 1.99-2.08
Nb 0.5000 0.0000 0.5000  6 O 1.99-2.08
Nb 0.5000 0.5000 0.0000  6 O 1.99-2.08
Zn 0.0000 0.0000 0.0000  6 O 2.17
O 0.0000 0.2611 0.2611  1 Nb 1.99, 1 Zn 2.17
O 0.0000 0.7389 0.7389  1 Nb 1.99, 1 Zn 2.17
O 0.2500 0.5000 0.7500  2 Nb 2.08
O 0.2500 0.7500 0.5000  2 Nb 2.08
O 0.2611 0.0000 0.2611  1 Nb 1.99, 1 Zn 2.17
O 0.2611 0.2611 0.0000  1 Nb 1.99, 1 Zn 2.17
O 0.5000 0.2500 0.7500  2 Nb 2.08
O 0.5000 0.7500 0.2500  2 Nb 2.08
O 0.7389 0.0000 0.7389  1 Nb 1.99, 1 Zn 2.17
O 0.7389 0.7389 0.0000  1 Nb 1.99, 1 Zn 2.17
O 0.7500 0.2500 0.5000  2 Nb 2.08
O 0.7500 0.5000 0.2500  2 Nb 2.08

---

6.
DFT (GGA-PBE) results for a relaxed structure of Cs4CuI5.

The calculation puts the uncorrected formation energy at -11.562 eV per formula unit. The space group is I4, No. 79.

a b c (Å): 9.0776 9.0776 9.0776
angles (deg): 100.54 100.54 129.36
Closest atoms and distances in Å follow each position.
Sites, in units of the cell vectors:
Cs 0.0883 0.3006 0.3888  5 I 3.71-3.98
Cs 0.3006 0.9117 0.2123  5 I 3.71-3.98
Cs 0.6994 0.0883 0.7877  5 I 3.71-3.98
Cs 0.9117 0.6994 0.6112  5 I 3.71-3.98
Cu 0.5734 0.5734 0.0000  1 I 2.58
I 0.2477 0.5766 0.8364  1 Cu 3.08
I 0.4112 0.2477 0.6710  1 Cu 3.08
I 0.5766 0.7402 0.3290  1 Cu 3.08
I 0.7402 0.4112 0.1636  1 Cu 3.08
I 0.9051 0.9051 0.0000  1 Cu 2.58

---

7.
DFT (GGA-PBE) results for a relaxed structure of Mn2NiCl.

The energy above the most stable polymorph in this dataset comes out at 262.3 meV/atom. The calculation puts the uncorrected formation energy at 0.943 eV per formula unit. The space group is R3m, No. 160.

a b c (Å): 7.9002 7.9002 7.9002
angles (deg): 21.47 21.47 21.47
Closest atoms and distances in Å follow each position.
Sites, in units of the cell vectors:
Mn 0.0000 0.0000 0.0000  3 Cl 2.46, 3 Mn 2.66
Mn 0.2449 0.2449 0.2449  3 Ni 2.43, 3 Mn 2.66
Ni 0.5031 0.5031 0.5031  3 Mn 2.43
Cl 0.7433 0.7433 0.7433  3 Mn 2.46, 3 Ni 2.75

---

8.
DFT (GGA-PBE) results for a relaxed structure of Nd12Sm7Ho.

The energy above the most stable polymorph in this dataset comes out at 0.0 meV/atom. The space group is R-3, No. 148. The calculation puts the formation energy at 0.22 eV/atom.

a b c (Å): 8.9017 8.9017 8.9017
angles (deg): 87.71 87.71 87.71
Closest atoms and distances in Å follow each position.
Sites, in units of the cell vectors:
Nd 0.0092 0.3626 0.8854  4 Nd 3.24-3.43, 1 Sm 3.35
Nd 0.1146 0.9908 0.6374  4 Nd 3.24-3.43, 1 Sm 3.35
Nd 0.2253 0.7558 0.3540  3 Nd 3.27-3.43, 1 Ho 3.53, 1 Sm 3.63
Nd 0.2442 0.6460 0.7747  3 Nd 3.27-3.43, 1 Ho 3.53, 1 Sm 3.63
Nd 0.3540 0.2253 0.7558  3 Nd 3.27-3.43, 1 Ho 3.53, 1 Sm 3.63
Nd 0.3626 0.8854 0.0092  4 Nd 3.24-3.43, 1 Sm 3.35
Nd 0.6374 0.1146 0.9908  4 Nd 3.24-3.43, 1 Sm 3.35
Nd 0.6460 0.7747 0.2442  3 Nd 3.27-3.43, 1 Ho 3.53, 1 Sm 3.63
Nd 0.7558 0.3540 0.2253  3 Nd 3.27-3.43, 1 Ho 3.53, 1 Sm 3.63
Nd 0.7747 0.2442 0.6460  3 Nd 3.27-3.43, 1 Ho 3.53, 1 Sm 3.63
Nd 0.8854 0.0092 0.3626  4 Nd 3.24-3.43, 1 Sm 3.35
Nd 0.9908 0.6374 0.1146  4 Nd 3.24-3.43, 1 Sm 3.35
Sm 0.0000 0.0000 0.0000  6 Nd 3.35
Sm 0.1085 0.3520 0.4274  3 Sm 3.47-3.56, 7 Nd 3.63-3.84, 1 Ho 3.86
Sm 0.3520 0.4274 0.1085  3 Sm 3.47-3.56, 7 Nd 3.63-3.84, 1 Ho 3.86
Sm 0.4274 0.1085 0.3520  3 Sm 3.47-3.56, 7 Nd 3.63-3.84, 1 Ho 3.86
Sm 0.5726 0.8915 0.6480  3 Sm 3.47-3.56, 7 Nd 3.63-3.84, 1 Ho 3.86
Sm 0.6480 0.5726 0.8915  3 Sm 3.47-3.56, 7 Nd 3.63-3.84, 1 Ho 3.86
Sm 0.8915 0.6480 0.5726  3 Sm 3.47-3.56, 7 Nd 3.63-3.84, 1 Ho 3.86
Ho 0.5000 0.5000 0.5000  6 Nd 3.53, 6 Sm 3.86

---

9.
DFT (GGA-PBE) results for a relaxed structure of LaTe2Os.

The energy above the most stable polymorph in this dataset comes out at 307.7 meV/atom. The calculation puts the uncorrected formation energy at -0.504 eV per formula unit. The space group is P4mm, No. 99.

a b c (Å): 3.8925 3.8925 6.7396
angles (deg): 90.00 90.00 90.00
Closest atoms and distances in Å follow each position.
Sites, in units of the cell vectors:
La 0.0000 0.0000 0.0000  5 Te 3.09-3.16
Te 0.0000 0.0000 0.4583  4 Os 2.85, 1 La 3.09
Te 0.5000 0.5000 0.7693  1 Os 2.83, 4 La 3.16
Os 0.5000 0.5000 0.3499  5 Te 2.83-2.85

---

10.
DFT (GGA-PBE) results for a relaxed structure of PmHoMg17.

The space group is R3m, No. 160. The calculation puts the formation energy at -0.03 eV/atom.

a b c (Å): 7.7882 7.7882 7.7882
angles (deg): 82.12 82.12 82.12
Closest atoms and distances in Å follow each position.
Sites, in units of the cell vectors:
Pm 0.0000 0.0000 0.0000  16 Mg 3.53-3.83
Ho 0.3417 0.3417 0.3417  16 Mg 3.47-3.88
Mg 0.0246 0.0246 0.5079  8 Mg 2.91-3.20
Mg 0.0246 0.5079 0.0246  8 Mg 2.91-3.20
Mg 0.1682 0.6726 0.6726  10 Mg 2.98-3.14
Mg 0.3177 0.3177 0.8277  9 Mg 2.91-3.26
Mg 0.3177 0.8277 0.3177  9 Mg 2.91-3.26
Mg 0.3683 0.6687 0.9737  8 Mg 2.98-3.20
Mg 0.3683 0.9737 0.6687  8 Mg 2.98-3.20
Mg 0.5079 0.0246 0.0246  8 Mg 2.91-3.20
Mg 0.5696 0.5696 0.5696  7 Mg 3.03-3.26
Mg 0.6687 0.3683 0.9737  8 Mg 2.98-3.20
Mg 0.6687 0.9737 0.3683  8 Mg 2.98-3.20
Mg 0.6726 0.1682 0.6726  10 Mg 2.98-3.14
Mg 0.6726 0.6726 0.1682  10 Mg 2.98-3.14
Mg 0.7684 0.7684 0.7684  7 Mg 3.03-3.31
Mg 0.8277 0.3177 0.3177  9 Mg 2.91-3.26
Mg 0.9737 0.3683 0.6687  8 Mg 2.98-3.20
Mg 0.9737 0.6687 0.3683  8 Mg 2.98-3.20